Below is a relaxed structure of Sc2BPd, with properties calculated at the PBE level.

a = 4.385 Å, b = 4.385 Å, c = 4.385 Å
α = 60.00°, β = 60.00°, γ = 60.00°
Site moments in Bohr magnetons follow the coordinates.
Sites, in units of the cell vectors:
B (0.500, 0.500, 0.500)  0.00
Pd (0.250, 0.250, 0.250)  0.01
Sc (0.000, 0.000, 0.000)  0.36
Sc (0.750, 0.750, 0.750)  0.48

The total magnetic moment comes out at 1.00 μB per formula unit. The total energy is -24.39 eV per cell.